(1)
A relaxed structure of Cr5Ir, computed with PBE.

Output
Polymorph energy (0 for the lowest one) ... 0.000 eV/atom
Crystal system ... tetragonal
Formation energy ... -0.03 eV per formula unit
Space-group type ... P4/mmm (123)
Spin magnetization ... 2.0 Bohr magnetons per cell

POSCAR file:
```
Cr5Ir
1.0
2.8752 0.0000 0.0000
0.0000 2.8752 0.0000
0.0000 0.0000 8.9414
Cr Ir
5 1
Cartesian
0.0000 0.0000 0.0000
0.0000 0.0000 2.7749
0.0000 0.0000 6.1665
1.4376 1.4376 1.4343
1.4376 1.4376 7.5071
1.4376 1.4376 4.4707
```

=====

(2)
A relaxed structure of MgSi, computed with PBE.

Output
Crystal system ... orthorhombic
Space-group type ... Cmcm (63)
Spin magnetization ... 0.0 Bohr magnetons per cell

POSCAR file:
```
MgSi
1.0
1.4685 -5.1731 0.0000
1.4685 5.1731 0.0000
0.0000 0.0000 4.6591
Mg Si
2 2
Cartesian
1.4685 3.4786 3.4943
1.4685 -3.4786 1.1648
1.4685 0.6980 3.4943
1.4685 -0.6980 1.1648
```

=====

(3)
A relaxed structure of GaI2NO, computed with PBE.

Output
Polymorph energy (0 for the lowest one) ... 0.375 eV/atom
Crystal system ... tetragonal
Space-group type ... P4/mmm (123)
Spin magnetization ... 2.1 Bohr magnetons per cell

POSCAR file:
```
GaI2NO
1.0
6.0964 0.0000 0.0000
0.0000 6.0964 0.0000
0.0000 0.0000 3.4591
Ga I N O
1 2 1 1
Cartesian
0.0000 0.0000 0.0000
0.0000 3.0482 0.0000
3.0482 0.0000 0.0000
0.0000 0.0000 1.7295
3.0482 3.0482 1.7295
```

=====

(4)
A relaxed structure of LiTmGaAu, computed with PBE.

Output
Polymorph energy (0 for the lowest one) ... 0.031 eV/atom
Crystal system ... cubic
Formation energy ... -2.33 eV per formula unit
Space-group type ... F-43m (216)
Spin magnetization ... 0.0 Bohr magnetons per cell

POSCAR file:
```
LiTmGaAu
1.0
0.0000 3.3786 3.3786
3.3786 0.0000 3.3786
3.3786 3.3786 0.0000
Li Tm Ga Au
1 1 1 1
Cartesian
0.0000 0.0000 0.0000
3.3786 3.3786 3.3786
1.6893 1.6893 1.6893
5.0679 5.0679 5.0679
```

=====

These records have final energy values of -9.50, -3.42, -2.88, -3.76 eV per atom, in the order they appear.